(1)
This record from the Alexandria database describes a relaxed structure of SrCdInAg. The functional is PBE-GGA.

Structure (POSCAR):
```
SrCdInAg
1.0
2.426 1.400 5.599
-2.426 1.400 5.599
0.000 -2.801 5.599
Sr Cd In Ag
1 1 1 1
Direct
0.000 0.000 0.000
0.209 0.209 0.209
0.789 0.789 0.789
0.502 0.502 0.502
```

Formation energy   -228 meV/atom
Density   6.15 g cm⁻³


(2)
This record from the Alexandria database describes a relaxed structure of Sr2CdIn4Ag3. The functional is PBE-GGA.

Structure (POSCAR):
```
Sr2CdIn4Ag3
1.0
4.622 0.000 0.000
0.000 4.622 0.000
0.000 0.000 12.371
Sr Cd In Ag
2 1 4 3
Direct
0.000 0.500 0.245
0.500 0.000 0.755
0.000 0.000 0.500
0.000 0.000 0.000
0.000 0.500 0.640
0.500 0.000 0.360
0.500 0.500 0.000
0.000 0.500 0.862
0.500 0.000 0.138
0.500 0.500 0.500
```

Formation energy   -287 meV/atom
Density   6.73 g cm⁻³


(3)
This record from the Alexandria database describes a relaxed structure of Sr2Cd3In4Ag. The functional is PBE-GGA.

Structure (POSCAR):
```
Sr2Cd3In4Ag
1.0
4.785 0.000 0.000
0.000 4.785 0.000
0.000 0.000 12.196
Sr Cd In Ag
2 3 4 1
Direct
0.000 0.500 0.243
0.500 0.000 0.757
0.000 0.000 0.000
0.000 0.500 0.642
0.500 0.000 0.358
0.000 0.000 0.500
0.000 0.500 0.872
0.500 0.000 0.128
0.500 0.500 0.500
0.500 0.500 0.000
```

Formation energy   -265 meV/atom
Density   6.42 g cm⁻³


(4)
This record from the Alexandria database describes a relaxed structure of Sr3CdIn2Ag6. The functional is PBE-GGA.

Structure (POSCAR):
```
Sr3CdIn2Ag6
1.0
6.210 0.000 0.000
-3.105 5.378 0.000
0.000 0.000 9.386
Sr Cd In Ag
3 1 2 6
Direct
0.000 0.000 0.000
0.333 0.667 0.607
0.667 0.333 0.393
0.000 0.000 0.500
0.333 0.667 0.003
0.667 0.333 0.997
0.178 0.357 0.275
0.178 0.822 0.275
0.357 0.178 0.725
0.643 0.822 0.275
0.822 0.178 0.725
0.822 0.643 0.725
```

Formation energy   -181 meV/atom
Density   6.63 g cm⁻³


(5)
This record from the Alexandria database describes a relaxed structure of Sr3Cd6In2Ag. The functional is PBE-GGA.

Structure (POSCAR):
```
Sr3Cd6In2Ag
1.0
6.041 0.000 0.000
-3.021 5.232 0.000
0.000 0.000 10.692
Sr Cd In Ag
3 6 2 1
Direct
0.000 0.000 0.000
0.333 0.667 0.576
0.667 0.333 0.424
0.169 0.338 0.270
0.169 0.831 0.270
0.338 0.169 0.730
0.662 0.831 0.270
0.831 0.169 0.730
0.831 0.662 0.730
0.333 0.667 0.910
0.667 0.333 0.090
0.000 0.000 0.500
```

Formation energy   -192 meV/atom
Density   6.26 g cm⁻³


(6)
This record from the Alexandria database describes a relaxed structure of SrCd3InAg. The functional is PBE-GGA.

Structure (POSCAR):
```
SrCd3InAg
1.0
3.509 -6.953 0.000
3.509 6.953 0.000
0.000 0.000 6.572
Sr Cd In Ag
2 6 2 2
Direct
0.209 0.791 0.750
0.791 0.209 0.250
0.208 0.208 0.000
0.208 0.208 0.500
0.364 0.636 0.250
0.636 0.364 0.750
0.792 0.792 0.000
0.792 0.792 0.500
0.149 0.851 0.250
0.851 0.149 0.750
0.428 0.572 0.750
0.572 0.428 0.250
```

Formation energy   -121 meV/atom
Density   6.71 g cm⁻³